# 1
DFT (PBEsol) results for CaCoSb2 after structural relaxation.

Lattice parameters (Å, degrees): 4.099 4.533 4.533 90.00 90.00 90.00
Last column: magnetic moment on the atom in μB.
Sites, in units of the cell vectors:
Sb1 0.000 0.500 0.000  0.00
Sb2 0.000 0.000 0.500  0.00
Ca1 0.500 0.500 0.500  -0.01
Co1 0.500 0.000 0.000  1.35

Properties
SG ... P4/mmm, No. 123
Formation energy from raw total energies ... -0.041 eV per atom
Electronic total energy ... -4.788 eV/atom
Fermi-level density of states ... 4.8 states/eV/cell
Total moment ... 1.33 μB/cell

***

# 2
DFT (PBEsol) results for Ca3CoSb after structural relaxation.

Lattice parameters (Å, degrees): 5.779 5.779 5.779 90.00 90.00 90.00
Last column: magnetic moment on the atom in μB.
Sites, in units of the cell vectors:
Ca1 0.000 0.000 0.500  -0.08
Sb1 0.000 0.000 0.000  -0.02
Ca2 0.000 0.500 0.000  -0.08
Co1 0.500 0.500 0.500  1.96
Ca3 0.500 0.000 0.000  -0.08

Properties
SG ... Pm-3m, No. 221
Formation energy from raw total energies ... 0.432 eV per atom
Electronic total energy ... -3.307 eV/atom
Fermi-level density of states ... 11.0 states/eV/cell
Total moment ... 0.48 μB/cell

***

# 3
DFT (PBEsol) results for CaCo2Sb after structural relaxation.

Lattice parameters (Å, degrees): 4.566 4.566 4.566 60.00 60.00 60.00
Last column: magnetic moment on the atom in μB.
Sites, in units of the cell vectors:
Co1 0.750 0.750 0.750  1.72
Co2 0.000 0.000 0.000  1.44
Sb1 0.250 0.250 0.250  0.06
Ca1 0.500 0.500 0.500  -0.01

Properties
SG ... F-43m, No. 216
Formation energy from raw total energies ... 0.307 eV per atom
Electronic total energy ... -5.235 eV/atom
Fermi-level density of states ... 7.4 states/eV/cell
Total moment ... 3.17 μB/cell

***

# 4
DFT (PBEsol) results for CaCoSe3 after structural relaxation.

Lattice parameters (Å, degrees): 4.707 4.707 4.707 90.00 90.00 90.00
Last column: magnetic moment on the atom in μB.
Sites, in units of the cell vectors:
Co1 0.000 0.000 0.000  0.89
Ca1 0.500 0.500 0.500  0.01
Se1 0.000 0.000 0.500  0.08
Se2 0.500 0.000 0.000  0.08
Se3 0.000 0.500 0.000  0.08

Properties
SG ... Pm-3m, No. 221
Formation energy from raw total energies ... -0.529 eV per atom
Electronic total energy ... -4.813 eV/atom
Fermi-level density of states ... 6.1 states/eV/cell
Total moment ... 1.31 μB/cell

***

# 5
DFT (PBEsol) results for CaCoSe2 after structural relaxation.

Lattice parameters (Å, degrees): 4.317 4.317 7.828 73.99 73.99 60.00
Last column: magnetic moment on the atom in μB.
Sites, in units of the cell vectors:
Se1 0.901 0.901 0.297  0.15
Ca1 0.500 0.500 0.500  0.04
Se2 0.099 0.099 0.703  0.15
Co1 0.000 0.000 0.000  2.30

Properties
SG ... R-3m, No. 166
Formation energy from raw total energies ... -0.401 eV per atom
Electronic total energy ... -4.793 eV/atom
Fermi-level density of states ... 7.0 states/eV/cell
Distance to the lowest polymorph of the same formula ... 487 meV per atom
Total moment ... 2.98 μB/cell

***

# 6
DFT (PBEsol) results for Ca4CoSe after structural relaxation.

Lattice parameters (Å, degrees): 6.265 6.265 6.265 60.00 60.00 60.00
Last column: magnetic moment on the atom in μB.
Sites, in units of the cell vectors:
Ca1 0.375 0.874 0.375  -0.07
Ca2 0.375 0.375 0.375  -0.07
Ca3 0.874 0.375 0.375  -0.07
Ca4 0.375 0.375 0.874  -0.07
Se1 0.000 0.000 0.000  0.02
Co1 0.750 0.750 0.750  1.79

Properties
SG ... F-43m, No. 216
Formation energy from raw total energies ... 0.581 eV per atom
Electronic total energy ... -2.772 eV/atom
Fermi-level density of states ... 4.5 states/eV/cell
Total moment ... 0.89 μB/cell

***

# 7
DFT (PBEsol) results for CaCoSe2 after structural relaxation.

Lattice parameters (Å, degrees): 5.927 5.927 5.927 107.56 107.56 113.36
Last column: magnetic moment on the atom in μB.
Sites, in units of the cell vectors:
Se1 0.125 0.707 0.082  0.04
Co1 0.000 0.000 0.000  0.67
Ca1 0.750 0.250 0.500  0.01
Se2 0.293 0.375 0.418  0.04
Se3 0.625 0.043 0.918  0.04
Co2 0.250 0.750 0.500  0.67
Ca2 0.500 0.500 0.000  0.01
Se4 0.957 0.875 0.582  0.04

Properties
SG ... I-42d, No. 122
Formation energy from raw total energies ... -0.888 eV per atom
Electronic total energy ... -5.280 eV/atom
Fermi-level density of states ... 4.7 states/eV/cell
Distance to the lowest polymorph of the same formula ... 0 meV per atom
Total moment ... 1.66 μB/cell

***

# 8
DFT (PBEsol) results for CaCoSe2 after structural relaxation.

Lattice parameters (Å, degrees): 3.994 4.194 5.635 90.00 110.82 90.00
Last column: magnetic moment on the atom in μB.
Sites, in units of the cell vectors:
Co1 0.075 0.500 0.775  1.06
Ca1 0.423 0.000 0.471  0.00
Se1 0.861 0.500 0.347  0.07
Se2 0.141 0.000 0.907  0.06

Properties
SG ... Amm2, No. 38
Formation energy from raw total energies ... -0.751 eV per atom
Electronic total energy ... -5.144 eV/atom
Fermi-level density of states ... 4.0 states/eV/cell
Distance to the lowest polymorph of the same formula ... 136 meV per atom
Total moment ... 1.30 μB/cell